A relaxed Dy5AgSe4 crystal. Source: the Alexandria database, functional PBE.

Calculated volume (Å³/atom): 24.47
Theoretical density (g/cm³): 8.388
Total DFT energy (no corrections) (eV/f.u.): -54.250
N(E_F) (states/eV/cell): 10.9
Energy relative to the elements, uncorrected (eV per atom): -1.44

abc: 13.801 4.042 10.154
angles: 90.00 120.22 90.00
Space group C2/m (No. 12)
Unique sites:
Dy: 0.000 0.000 0.000 (multiplicity 2)
Dy: 0.102 0.500 0.397 (multiplicity 4)
Dy: 0.200 0.000 0.800 (multiplicity 4)
Ag: 0.000 0.000 0.500 (multiplicity 2)
Se: 0.102 0.500 0.905 (multiplicity 4)
Se: 0.200 0.000 0.298 (multiplicity 4)